Entry 1:
Pu3PaP4 | PBE-GGA | optimized geometry

Values from the calculation:
Total moment (μB per formula unit): 15.8
Symmetry: Cmmm, No. 65
Theoretical density (Mg/m³): 10.01
Total DFT energy (no corrections) (eV/cell): -83.8

Lattice parameters (Å, degrees): 6.9127 6.9127 4.0051 90.00 90.00 109.62
With the nearest neighbours (Å) after each atom.
Positions (direct):
Pu 0.0000 0.0000 0.0000  6 P 2.84
Pu 0.0000 0.5000 0.5000  6 P 2.82
Pu 0.5000 0.0000 0.5000  6 P 2.82
Pa 0.5000 0.5000 0.0000  6 P 2.81
P 0.2510 0.7490 0.0000  1 Pa 2.81, 5 Pu 2.82-2.84
P 0.2521 0.2521 0.5000  2 Pa 2.81, 4 Pu 2.82-2.84
P 0.7479 0.7479 0.5000  2 Pa 2.81, 4 Pu 2.82-2.84
P 0.7490 0.2510 0.0000  1 Pa 2.81, 5 Pu 2.82-2.84

Entry 2:
AlOsPt2 | PBE-GGA | optimized geometry

Values from the calculation:
Total moment (μB per formula unit): 0.0
Symmetry: F-43m, No. 216
Theoretical density (Mg/m³): 16.76
Total DFT energy (no corrections) (eV/cell): -27.4

Lattice parameters (Å, degrees): 4.3990 4.3990 4.3990 60.00 60.00 60.00
With the nearest neighbours (Å) after each atom.
Positions (direct):
Al 0.0000 0.0000 0.0000  4 Os 2.69, 4 Pt 2.69
Os 0.2500 0.2500 0.2500  4 Pt 2.69, 4 Al 2.69
Pt 0.5000 0.5000 0.5000  4 Pt 2.69, 4 Os 2.69
Pt 0.7500 0.7500 0.7500  4 Pt 2.69, 4 Al 2.69

Entry 3:
TaNbPO | PBE-GGA | optimized geometry

Values from the calculation:
Total moment (μB per formula unit): 0.0
Symmetry: P4/nmm, No. 129
Theoretical density (Mg/m³): 9.71
Total DFT energy (no corrections) (eV/cell): -72.3

Lattice parameters (Å, degrees): 3.6722 3.6722 8.1347 90.00 90.00 90.00
With the nearest neighbours (Å) after each atom.
Positions (direct):
Ta 0.2500 0.2500 0.1568  4 O 2.24
Ta 0.7500 0.7500 0.8432  4 O 2.24
Nb 0.2500 0.7500 0.5000  4 Nb 2.60, 4 P 2.62
Nb 0.7500 0.2500 0.5000  4 Nb 2.60, 4 P 2.62
P 0.2500 0.2500 0.7295  4 Nb 2.62, 4 Ta 2.76, 4 O 2.87
P 0.7500 0.7500 0.2705  4 Nb 2.62, 4 Ta 2.76, 4 O 2.87
O 0.2500 0.7500 0.0000  4 Ta 2.24
O 0.7500 0.2500 0.0000  4 Ta 2.24

Entry 4:
TbGdAg4 | PBE-GGA | optimized geometry

Values from the calculation:
Total moment (μB per formula unit): 0.0
Symmetry: P4/mmm, No. 123
Theoretical density (Mg/m³): 9.59
Total DFT energy (no corrections) (eV/cell): -22.5
Formation enthalpy at 0 K (eV/atom): -0.318

Lattice parameters (Å, degrees): 3.7322 3.7322 9.2897 90.00 90.00 90.00
With the nearest neighbours (Å) after each atom.
Positions (direct):
Tb 0.0000 0.0000 0.0000  10 Ag 3.07
Gd 0.5000 0.5000 0.5000  10 Ag 3.07-3.08
Ag 0.0000 0.0000 0.3301  5 Ag 3.03-3.16, 1 Tb 3.07, 4 Gd 3.08
Ag 0.0000 0.0000 0.6699  5 Ag 3.03-3.16, 1 Tb 3.07, 4 Gd 3.08
Ag 0.5000 0.5000 0.1697  5 Ag 3.03-3.15, 1 Gd 3.07, 4 Tb 3.07
Ag 0.5000 0.5000 0.8303  5 Ag 3.03-3.15, 1 Gd 3.07, 4 Tb 3.07

Entry 5:
Zr4InBiN2 | PBE-GGA | optimized geometry

Values from the calculation:
Total moment (μB per formula unit): 0.0
Symmetry: P-6m2, No. 187
Theoretical density (Mg/m³): 8.29
Total DFT energy (no corrections) (eV/cell): -65.5

Lattice parameters (Å, degrees): 3.3528 3.3528 14.7393 90.00 90.00 120.00
With the nearest neighbours (Å) after each atom.
Positions (direct):
Zr 0.0000 0.0000 0.1660  3 N 2.31
Zr 0.0000 0.0000 0.8340  3 N 2.31
Zr 0.6667 0.3333 0.3331  3 N 2.28
Zr 0.6667 0.3333 0.6669  3 N 2.28
In 0.0000 0.0000 0.5000  6 Zr 3.13, 6 In 3.35
Bi 0.6667 0.3333 0.0000  6 Zr 3.12, 6 Bi 3.35
N 0.3333 0.6667 0.2519  6 Zr 2.28-2.31
N 0.3333 0.6667 0.7481  6 Zr 2.28-2.31

Entry 6:
HfAlPd | PBE-GGA | optimized geometry

Values from the calculation:
Total moment (μB per formula unit): 0.8
Symmetry: F-43m, No. 216
Theoretical density (Mg/m³): 8.74
Total DFT energy (no corrections) (eV/cell): -20.4

Lattice parameters (Å, degrees): 4.3769 4.3769 4.3769 60.00 60.00 60.00
With the nearest neighbours (Å) after each atom.
Positions (direct):
Hf 0.0000 0.0000 0.0000  4 Pd 2.68
Al 0.5000 0.5000 0.5000  4 Pd 2.68
Pd 0.7500 0.7500 0.7500  4 Hf 2.68, 4 Al 2.68

Entry 7:
CdInPd2 | PBE-GGA | optimized geometry

Values from the calculation:
Symmetry: I4/mmm, No. 139
Theoretical density (Mg/m³): 10.37
Total DFT energy (no corrections) (eV/cell): -15.9

Lattice parameters (Å, degrees): 4.8193 4.8193 4.8193 126.17 126.17 79.61
With the nearest neighbours (Å) after each atom.
Positions (direct):
Cd 0.0000 0.0000 0.0000  8 Pd 2.86, 4 In 3.09
In 0.5000 0.5000 0.0000  8 Pd 2.86, 4 Cd 3.09
Pd 0.2500 0.7500 0.5000  4 In 2.86, 4 Cd 2.86, 4 Pd 3.09
Pd 0.7500 0.2500 0.5000  4 In 2.86, 4 Cd 2.86, 4 Pd 3.09

Entry 8:
SrAsPdO | PBE-GGA | optimized geometry

Values from the calculation:
Symmetry: P4/nmm, No. 129
Theoretical density (Mg/m³): 6.03
Total DFT energy (no corrections) (eV/cell): -43.4

Lattice parameters (Å, degrees): 4.4048 4.4048 8.0880 90.00 90.00 90.00
With the nearest neighbours (Å) after each atom.
Positions (direct):
Sr 0.2500 0.2500 0.1191  4 O 2.40
Sr 0.7500 0.7500 0.8809  4 O 2.40
As 0.2500 0.2500 0.6499  4 Pd 2.51
As 0.7500 0.7500 0.3501  4 Pd 2.51
Pd 0.2500 0.7500 0.5000  4 As 2.51
Pd 0.7500 0.2500 0.5000  4 As 2.51
O 0.2500 0.7500 0.0000  4 Sr 2.40
O 0.7500 0.2500 0.0000  4 Sr 2.40

Entry 9:
Ho4GaGe4Pd2 | PBE-GGA | optimized geometry

Values from the calculation:
Total moment (μB per formula unit): 0.0
Symmetry: C2/m, No. 12
Theoretical density (Mg/m³): 9.14
Total DFT energy (no corrections) (eV/cell): -59.7

Lattice parameters (Å, degrees): 8.1194 8.1194 7.0497 106.83 106.83 30.35
With the nearest neighbours (Å) after each atom.
Positions (direct):
Ho 0.0853 0.0853 0.3766  6 Ge 3.02-3.07, 3 Pd 3.09-3.14, 2 Ga 3.35
Ho 0.1546 0.1546 0.9241  5 Ge 2.90-2.98, 1 Pd 3.17
Ho 0.8454 0.8454 0.0759  5 Ge 2.90-2.98, 1 Pd 3.17
Ho 0.9147 0.9147 0.6234  6 Ge 3.02-3.07, 3 Pd 3.09-3.14, 2 Ga 3.35
Ga 0.5000 0.5000 0.0000  4 Ge 2.80-2.93
Ge 0.3108 0.3108 0.7651  3 Pd 2.58-2.69
Ge 0.4391 0.4391 0.3357  1 Ge 2.52, 1 Pd 2.56, 1 Ga 2.80
Ge 0.5609 0.5609 0.6643  1 Ge 2.52, 1 Pd 2.56, 1 Ga 2.80
Ge 0.6892 0.6892 0.2349  3 Pd 2.58-2.69
Pd 0.2810 0.2810 0.3686  4 Ge 2.56-2.69
Pd 0.7190 0.7190 0.6314  4 Ge 2.56-2.69

Entry 10:
LiFeCuOs | PBE-GGA | optimized geometry

Values from the calculation:
Total moment (μB per formula unit): 0.0
Symmetry: F-43m, No. 216
Theoretical density (Mg/m³): 11.45
Total DFT energy (no corrections) (eV/cell): -24.2

Lattice parameters (Å, degrees): 4.0197 4.0197 4.0197 60.00 60.00 60.00
With the nearest neighbours (Å) after each atom.
Positions (direct):
Li 0.0000 0.0000 0.0000  4 Os 2.46, 4 Cu 2.46
Fe 0.5000 0.5000 0.5000  4 Os 2.46, 4 Cu 2.46
Cu 0.2500 0.2500 0.2500  4 Fe 2.46, 4 Li 2.46
Os 0.7500 0.7500 0.7500  4 Fe 2.46, 4 Li 2.46

Entry 11:
PaBAu | PBE-GGA | optimized geometry

Values from the calculation:
Total moment (μB per formula unit): 0.8
Symmetry: F-43m, No. 216
Theoretical density (Mg/m³): 12.99
Total DFT energy (no corrections) (eV/cell): -19.3

Lattice parameters (Å, degrees): 4.2971 4.2971 4.2971 60.00 60.00 60.00
With the nearest neighbours (Å) after each atom.
Positions (direct):
Pa 0.0000 0.0000 0.0000  4 B 2.63
B 0.7500 0.7500 0.7500  4 Au 2.63, 4 Pa 2.63
Au 0.5000 0.5000 0.5000  4 B 2.63

Entry 12:
Ta2Si3Mo4N3 | PBE-GGA | optimized geometry

Values from the calculation:
Total moment (μB per formula unit): 0.0
Symmetry: C2/c, No. 15
Theoretical density (Mg/m³): 9.44
Total DFT energy (no corrections) (eV/cell): -224.8

Lattice parameters (Å, degrees): 5.2252 5.2252 13.0927 101.51 101.51 61.98
With the nearest neighbours (Å) after each atom.
Positions (direct):
Ta 0.0329 0.8625 0.6112  3 N 2.16-2.20
Ta 0.1375 0.9671 0.8888  3 N 2.16-2.20
Ta 0.8625 0.0329 0.1112  3 N 2.16-2.20
Ta 0.9671 0.1375 0.3888  3 N 2.16-2.20
Si 0.0738 0.3179 0.7493  4 Mo 2.57-2.66, 2 Ta 2.71-2.75, 4 Si 2.76-2.86
Si 0.3179 0.0738 0.2493  4 Mo 2.57-2.66, 2 Ta 2.71-2.75, 4 Si 2.76-2.86
Si 0.4604 0.5396 0.7500  4 Mo 2.54-2.59, 2 Ta 2.68, 2 Si 2.76
Si 0.5396 0.4604 0.2500  4 Mo 2.54-2.59, 2 Ta 2.68, 2 Si 2.76
Si 0.6821 0.9262 0.7507  4 Mo 2.57-2.66, 2 Ta 2.71-2.75, 4 Si 2.76-2.86
Si 0.9262 0.6821 0.2507  4 Mo 2.57-2.66, 2 Ta 2.71-2.75, 4 Si 2.76-2.86
Mo 0.2054 0.3759 0.0915  3 N 2.15-2.17
Mo 0.3254 0.4469 0.4096  3 N 2.14-2.17
Mo 0.3759 0.2054 0.5915  3 N 2.15-2.17
Mo 0.4469 0.3254 0.9096  3 N 2.14-2.17
Mo 0.5531 0.6746 0.0904  3 N 2.14-2.17
Mo 0.6241 0.7946 0.4085  3 N 2.15-2.17
Mo 0.6746 0.5531 0.5904  3 N 2.14-2.17
Mo 0.7946 0.6241 0.9085  3 N 2.15-2.17
N 0.0000 0.5000 0.5000  4 Mo 2.14-2.15, 2 Ta 2.20
N 0.1478 0.7085 0.0006  4 Mo 2.15-2.17, 2 Ta 2.16-2.17
N 0.2915 0.8522 0.4994  4 Mo 2.15-2.17, 2 Ta 2.16-2.17
N 0.5000 0.0000 0.0000  4 Mo 2.14-2.15, 2 Ta 2.20
N 0.7085 0.1478 0.5006  4 Mo 2.15-2.17, 2 Ta 2.16-2.17
N 0.8522 0.2915 0.9994  4 Mo 2.15-2.17, 2 Ta 2.16-2.17